Li4Ag3Au2, relaxed, DFT PBE; symmetry = C2/m; raw total energy = -2.822 eV/atom; energy of formation = -0.292 eV per atom
1.0
4.084 0.000 0.000
0.000 6.174 0.479
-2.042 -2.460 5.736
Li Au Ag
4 2 3
direct
0.777 0.688 0.554
0.455 0.688 0.911
0.545 0.312 0.089
0.223 0.312 0.446
0.333 0.987 0.666
0.667 0.013 0.334
0.888 0.350 0.777
0.112 0.650 0.223
0.000 0.000 0.000